DFT (PBE) results for a geometry-optimized Ba3SrMo structure.

CIF file:
```
data_Ba3SrMo
_chemical_formula_sum 'Ba3 Sr1 Mo1'
_cell_length_a 6.879
_cell_length_b 6.879
_cell_length_c 6.879
_cell_angle_alpha 90.00
_cell_angle_beta 90.00
_cell_angle_gamma 90.00
_space_group_name_H-M_alt 'P m -3 m'
_space_group_IT_number 221
_space_group_name_Hall '-P 4 2 3'
loop_
_atom_site_label
_atom_site_fract_x
_atom_site_fract_y
_atom_site_fract_z
_atom_site_occupancy
Ba1 0.000 0.000 0.500 1
Sr1 0.000 0.000 0.000 1
Mo1 0.500 0.500 0.500 1
```

Summary:
Volume ... 325 Å³/cell
E above lowest polymorph ... 874 meV/atom
Energy of formation ... 1.523 eV per atom